DFT (PBE) results for a relaxed structure of HfHgGe.

abc: 4.545 4.545 4.545
angles: 60.00 60.00 60.00
Sites, in units of the cell vectors:
Hf 0.000 0.000 0.000
Hg 0.500 0.500 0.500
Ge 0.250 0.250 0.250

Results
- M_tot: 0.01 μB per formula unit
- E above lowest polymorph: 0.1318 eV/atom

***

DFT (PBE) results for a relaxed structure of Zr4GaSiC2.

abc: 3.336 3.336 13.891
angles: 90.00 90.00 120.00
Sites, in units of the cell vectors:
Zr 0.000 0.000 0.153
Zr 0.000 0.000 0.847
Zr 0.667 0.333 0.337
Zr 0.667 0.333 0.663
Ga 0.000 0.000 0.500
Si 0.667 0.333 0.000
C 0.333 0.667 0.246
C 0.333 0.667 0.754

Results
- M_tot: 0.00 μB per formula unit
- Calculated total energy: -8.375 eV/atom

***

DFT (PBE) results for a relaxed structure of RbLiPa.

abc: 5.520 5.520 5.520
angles: 60.00 60.00 60.00
Sites, in units of the cell vectors:
Rb 0.000 0.000 0.000
Li 0.750 0.750 0.750
Pa 0.500 0.500 0.500

Results
- M_tot: 2.97 μB per formula unit
- Calculated total energy: -2.443 eV/atom